Entry 1:
{
  "formula": "InBr2F",
  "functional": "PBE",
  "state": "optimized geometry",
  "lattice_angstrom": [[0.000, 3.420, 3.420], [3.420, 0.000, 3.420], [3.420, 3.420, 0.000]],
  "species": ["In", "Br", "Br", "F"],
  "frac_coords": [[0.000, 0.000, 0.000], [0.250, 0.250, 0.250], [0.750, 0.750, 0.750], [0.500, 0.500, 0.500]],
  "raw_formation_energy_ev_per_atom": -0.60,
  "dos_ef_per_ev_atom": 0.333,
  "volume_a3_per_cell": 80.0,
  "polymorph_energy_mev_per_atom": 777.8,
  "e_tot_ry_per_atom": -0.19042
}


Entry 2:
{
  "formula": "KTcTe2Pb",
  "functional": "PBE",
  "state": "optimized geometry",
  "lattice_angstrom": [[6.109, 0.000, 0.000], [0.000, 6.109, 0.000], [0.000, 0.000, 5.364]],
  "species": ["K", "Tc", "Te", "Te", "Pb"],
  "frac_coords": [[0.000, 0.000, 0.000], [0.500, 0.500, 0.000], [0.000, 0.500, 0.500], [0.500, 0.000, 0.500], [0.500, 0.500, 0.500]],
  "raw_formation_energy_ev_per_atom": 0.64,
  "dos_ef_per_ev_atom": 1.045,
  "volume_a3_per_cell": 200.2,
  "e_tot_ry_per_atom": -0.26805
}


Entry 3:
{
  "formula": "PmAgTe2O8",
  "functional": "PBE",
  "state": "optimized geometry",
  "lattice_angstrom": [[-3.785, 3.785, 3.409], [3.785, -3.785, 3.409], [3.785, 3.785, -3.409]],
  "species": ["Pm", "Ag", "Te", "Te", "O", "O", "O", "O", "O", "O", "O", "O"],
  "frac_coords": [[0.000, 0.000, 0.000], [0.250, 0.750, 0.500], [0.500, 0.500, 0.000], [0.750, 0.250, 0.500], [0.317, 0.134, 0.817], [0.317, 0.500, 0.183], [0.394, 0.087, 0.307], [0.500, 0.683, 0.817], [0.780, 0.087, 0.693], [0.866, 0.683, 0.183], [0.913, 0.220, 0.307], [0.913, 0.606, 0.693]],
  "raw_formation_energy_ev_per_atom": -1.26,
  "dos_ef_per_ev_atom": 0.002,
  "volume_a3_per_cell": 195.4,
  "e_tot_ry_per_atom": -0.42049
}


Entry 4:
{
  "formula": "Ba2CdHgAu",
  "functional": "PBE",
  "state": "optimized geometry",
  "lattice_angstrom": [[6.312, 0.000, 0.000], [0.000, 6.312, 0.000], [0.000, 0.000, 5.276]],
  "species": ["Ba", "Ba", "Cd", "Hg", "Au"],
  "frac_coords": [[0.000, 0.500, 0.000], [0.500, 0.000, 0.000], [0.000, 0.000, 0.500], [0.500, 0.500, 0.500], [0.000, 0.000, 0.000]],
  "dos_ef_per_ev_atom": 0.602,
  "volume_a3_per_cell": 210.2,
  "polymorph_energy_mev_per_atom": 166.5,
  "e_tot_ry_per_atom": -0.14916
}


Entry 5:
{
  "formula": "CaSc3Os",
  "functional": "PBE",
  "state": "optimized geometry",
  "lattice_angstrom": [[5.134, 0.000, 0.000], [0.000, 5.134, 0.000], [0.000, 0.000, 5.134]],
  "species": ["Ca", "Sc", "Sc", "Sc", "Os"],
  "frac_coords": [[0.000, 0.000, 0.000], [0.000, 0.500, 0.500], [0.500, 0.000, 0.500], [0.500, 0.500, 0.000], [0.500, 0.500, 0.500]],
  "dos_ef_per_ev_atom": 0.997,
  "volume_a3_per_cell": 135.3,
  "polymorph_energy_mev_per_atom": 0.0,
  "e_tot_ry_per_atom": -0.48082
}


Entry 6:
{
  "formula": "CdReS2",
  "functional": "PBE",
  "state": "optimized geometry",
  "lattice_angstrom": [[1.666, 0.962, 8.028], [-1.666, 0.962, 8.028], [0.000, -1.924, 8.028]],
  "species": ["Cd", "Re", "S", "S"],
  "frac_coords": [[0.000, 0.000, 0.000], [0.500, 0.500, 0.500], [0.408, 0.408, 0.408], [0.592, 0.592, 0.592]],
  "raw_formation_energy_ev_per_atom": 0.51,
  "dos_ef_per_ev_atom": 0.768,
  "volume_a3_per_cell": 77.2,
  "e_tot_ry_per_atom": -0.35981
}


Entry 7:
{
  "formula": "LiPr4Sn4",
  "functional": "PBE",
  "state": "optimized geometry",
  "lattice_angstrom": [[8.972, 0.000, 0.000], [0.000, 8.972, 0.000], [0.000, 0.000, 6.574]],
  "species": ["Li", "Li", "Pr", "Pr", "Pr", "Pr", "Pr", "Pr", "Pr", "Pr", "Sn", "Sn", "Sn", "Sn", "Sn", "Sn", "Sn", "Sn"],
  "frac_coords": [[0.250, 0.250, 0.250], [0.750, 0.750, 0.750], [0.020, 0.679, 0.097], [0.179, 0.980, 0.597], [0.321, 0.520, 0.597], [0.480, 0.821, 0.097], [0.520, 0.179, 0.903], [0.679, 0.480, 0.403], [0.821, 0.020, 0.403], [0.980, 0.321, 0.903], [0.003, 0.343, 0.411], [0.157, 0.003, 0.089], [0.343, 0.497, 0.089], [0.497, 0.157, 0.411], [0.503, 0.843, 0.589], [0.657, 0.503, 0.911], [0.843, 0.997, 0.911], [0.997, 0.657, 0.589]],
  "dos_ef_per_ev_atom": 0.625,
  "volume_a3_per_cell": 529.2,
  "e_tot_ry_per_atom": -0.34685
}


Entry 8:
{
  "formula": "NdErPu2Bi4",
  "functional": "PBE",
  "state": "optimized geometry",
  "lattice_angstrom": [[7.836, 0.000, 0.000], [0.000, 4.541, 0.000], [-2.616, 0.000, 7.431]],
  "species": ["Nd", "Er", "Pu", "Pu", "Bi", "Bi", "Bi", "Bi"],
  "frac_coords": [[0.000, 0.000, 0.000], [0.000, 0.500, 0.500], [0.500, 0.000, 0.500], [0.500, 0.500, 0.000], [0.248, 0.000, 0.744], [0.252, 0.500, 0.256], [0.748, 0.500, 0.744], [0.752, 0.000, 0.256]],
  "dos_ef_per_ev_atom": 4.361,
  "volume_a3_per_cell": 264.4,
  "e_tot_ry_per_atom": -0.53461
}


Entry 9:
{
  "formula": "ZnAg2Sb",
  "functional": "PBE",
  "state": "optimized geometry",
  "lattice_angstrom": [[4.478, -1.623, 0.000], [4.478, 1.623, 0.000], [-1.098, 0.000, 5.500]],
  "species": ["Zn", "Ag", "Ag", "Sb"],
  "frac_coords": [[0.000, 0.000, 0.000], [0.259, 0.259, 0.786], [0.741, 0.741, 0.214], [0.500, 0.500, 0.500]],
  "raw_formation_energy_ev_per_atom": 0.07,
  "dos_ef_per_ev_atom": 0.281,
  "volume_a3_per_cell": 79.9,
  "polymorph_energy_mev_per_atom": 0.0,
  "e_tot_ry_per_atom": -0.19872
}


Entry 10:
{
  "formula": "SbP2Cl",
  "functional": "PBE",
  "state": "optimized geometry",
  "lattice_angstrom": [[2.039, 1.177, 6.985], [-2.039, 1.177, 6.985], [0.000, -2.354, 6.985]],
  "species": ["Sb", "P", "P", "Cl"],
  "frac_coords": [[0.000, 0.000, 0.000], [0.261, 0.261, 0.261], [0.570, 0.570, 0.570], [0.749, 0.749, 0.749]],
  "raw_formation_energy_ev_per_atom": 0.15,
  "dos_ef_per_ev_atom": 1.363,
  "volume_a3_per_cell": 100.6,
  "polymorph_energy_mev_per_atom": 187.6,
  "e_tot_ry_per_atom": -0.29721
}